Crystalline Li2CoPCO7 at its relaxed geometry, computed with PBE+U.

a b c (Å): 5.092 6.247 8.544
angles (deg): 90.00 94.07 90.00
Space group P2_1/m (No. 11)
Unique sites:
Li 0.223 0.015 0.282
Co 0.213 0.750 0.845
P 0.281 0.250 0.926
C 0.265 0.750 0.558
O 0.034 0.750 0.617
O 0.172 0.250 0.091
O 0.177 0.054 0.829
O 0.293 0.750 0.412
O 0.413 0.750 0.056
O 0.467 0.750 0.664

Values from the calculation:
- Final energy: -6.64 eV/atom
- Volume: 11.3 Å³ per atom
- Total magnetic moment: 7.999 μB/cell
- Calculated density: 2.8 g/cm³